Material: CaBe2Si
Method: DFT, PBE
State: optimized geometry

Summary:
- space group = No. 47
- spin magnetization (μB per formula unit) = 0.00
- calculated total energy (eV per atom) = -3.42
- formation energy from raw total energies (kJ per mole of atoms) = 28.97

The structure in extended XYZ format:
```
4
Lattice="2.8589 0.0000 0.0000 0.0000 3.3737 0.0000 0.0000 0.0000 6.3715" Properties=species:S:1:pos:R:3 pbc="T T T"
Be 0.0000 0.0000 5.8599
Be 0.0000 0.0000 3.6973
Ca 1.4295 1.6869 1.5929
Si 1.4295 1.6869 4.7786
```